The following is a PBE calculation of a relaxed In2HI crystal, from Alexandria via LeMat-Bulk.

Lattice parameters (Å, degrees): 7.837 7.837 7.837 90.00 90.00 90.00
Space group Fm-3m (No. 225)
Asymmetric unit:
In 0.250 0.250 0.250
H 0.000 0.000 0.000
I 0.000 0.000 0.500

Calculated values
- total energy (eV for the cell shown) = -37.0
- calculated density (g/cm3) = 4.93
- polymorph energy (0 for the lowest one) (eV/f.u.) = 0.75